DFT (PBE) results for Ba4Na3Ca after structural relaxation.

abc: 4.6857 4.6857 19.0422
angles: 90.00 90.00 90.00
Element x y z (fractional)
Ba: 0.0000 0.0000 0.1232
Ba: 0.0000 0.0000 0.3702
Ba: 0.0000 0.0000 0.6298
Ba: 0.0000 0.0000 0.8768
Na: 0.5000 0.5000 0.0000
Na: 0.5000 0.5000 0.2490
Na: 0.5000 0.5000 0.7510
Ca: 0.5000 0.5000 0.5000

Results
Size of the total moment (μB per formula unit): 0.00
Electronic total energy (Ry per atom): -0.124
Offset from the most stable computed form (meV/atom): 0

DFT (PBE) results for Ce5Fe2 after structural relaxation.

abc: 8.5130 8.5130 6.7244
angles: 95.82 95.82 42.45
Element x y z (fractional)
Ce: 0.1073 0.8927 0.7500
Ce: 0.1096 0.3311 0.3504
Ce: 0.2743 0.5327 0.1024
Ce: 0.3311 0.1096 0.8504
Ce: 0.4673 0.7257 0.3976
Ce: 0.5327 0.2743 0.6024
Ce: 0.6689 0.8904 0.1496
Ce: 0.7257 0.4673 0.8976
Ce: 0.8904 0.6689 0.6496
Ce: 0.8927 0.1073 0.2500
Fe: 0.1034 0.6911 0.3911
Fe: 0.3089 0.8966 0.1089
Fe: 0.6911 0.1034 0.8911
Fe: 0.8966 0.3089 0.6089

Results
Size of the total moment (μB per formula unit): 0.00
Electronic total energy (Ry per atom): -0.494

DFT (PBE) results for Zr8Tl5In after structural relaxation.

abc: 7.5916 7.5916 7.5916
angles: 109.43 109.43 109.55
Element x y z (fractional)
Zr: 0.0260 0.1275 0.7507
Zr: 0.2279 0.4769 0.6033
Zr: 0.3754 0.7721 0.2489
Zr: 0.3768 0.2753 0.2493
Zr: 0.5231 0.1265 0.7511
Zr: 0.7247 0.9740 0.1015
Zr: 0.8725 0.6232 0.8985
Zr: 0.8735 0.6246 0.3967
Tl: 0.9997 0.3740 0.1254
Tl: 0.1258 0.0003 0.3744
Tl: 0.2486 0.8742 0.8746
Tl: 0.6260 0.7514 0.6256
Tl: 0.7500 0.2500 0.5000
In: 0.5000 0.5000 0.0000

Results
Size of the total moment (μB per formula unit): 0.00
Electronic total energy (Ry per atom): -0.435

DFT (PBE) results for KLa2Ho3Te6 after structural relaxation.

abc: 10.1259 10.1259 9.1653
angles: 104.50 104.50 25.21
Element x y z (fractional)
K: 0.0000 0.0000 0.0000
La: 0.3295 0.3295 0.6575
La: 0.6705 0.6705 0.3425
Ho: 0.0000 0.0000 0.5000
Ho: 0.3353 0.3353 0.1760
Ho: 0.6647 0.6647 0.8240
Te: 0.1610 0.1610 0.5925
Te: 0.1737 0.1737 0.0732
Te: 0.4979 0.4979 0.2673
Te: 0.5021 0.5021 0.7327
Te: 0.8263 0.8263 0.9268
Te: 0.8390 0.8390 0.4075

Results
Raw formation energy (eV per atom): -1.398
Size of the total moment (μB per formula unit): 0.00
Electronic total energy (Ry per atom): -0.369

DFT (PBE) results for CaMgIr2 after structural relaxation.

abc: 2.9312 2.9312 8.8012
angles: 90.00 90.00 90.00
Element x y z (fractional)
Ca: 0.0000 0.0000 0.0000
Mg: 0.5000 0.5000 0.6625
Ir: 0.0000 0.0000 0.4447
Ir: 0.5000 0.5000 0.2521

Results
Size of the total moment (μB per formula unit): 0.00
Electronic total energy (Ry per atom): -0.392

DFT (PBE) results for Pr3AuS after structural relaxation.

abc: 9.1986 4.0223 15.6359
angles: 90.00 90.00 90.00
Element x y z (fractional)
Pr: 0.0082 0.2500 0.1059
Pr: 0.1580 0.2500 0.5494
Pr: 0.1755 0.7500 0.2919
Pr: 0.3245 0.2500 0.7919
Pr: 0.3420 0.7500 0.0494
Pr: 0.4918 0.7500 0.6059
Pr: 0.5082 0.2500 0.3941
Pr: 0.6580 0.2500 0.9506
Pr: 0.6755 0.7500 0.2081
Pr: 0.8245 0.2500 0.7081
Pr: 0.8420 0.7500 0.4506
Pr: 0.9918 0.7500 0.8941
Au: 0.1018 0.7500 0.6970
Au: 0.3982 0.2500 0.1970
Au: 0.6018 0.7500 0.8030
Au: 0.8982 0.2500 0.3030
S: 0.1866 0.2500 0.9548
S: 0.3134 0.7500 0.4548
S: 0.6866 0.2500 0.5452
S: 0.8134 0.7500 0.0452

Results
Raw formation energy (eV per atom): -1.064
Size of the total moment (μB per formula unit): 0.00
Electronic total energy (Ry per atom): -0.398

DFT (PBE) results for AcEr2Bi after structural relaxation.

abc: 5.0314 5.0314 5.0334
angles: 90.00 90.00 90.00
Element x y z (fractional)
Ac: 0.0000 0.0000 0.0000
Er: 0.0000 0.5000 0.5000
Er: 0.5000 0.0000 0.5000
Bi: 0.5000 0.5000 0.0000

Results
Size of the total moment (μB per formula unit): 0.00
Electronic total energy (Ry per atom): -0.335
Offset from the most stable computed form (meV/atom): 21

DFT (PBE) results for P2IrPt after structural relaxation.

abc: 4.3263 4.3263 4.3263
angles: 60.00 60.00 60.00
Element x y z (fractional)
P: 0.2500 0.2500 0.2500
P: 0.7500 0.7500 0.7500
Ir: 0.0000 0.0000 0.0000
Pt: 0.5000 0.5000 0.5000

Results
Size of the total moment (μB per formula unit): 0.00
Electronic total energy (Ry per atom): -0.459
Offset from the most stable computed form (meV/atom): 566

DFT (PBE) results for TlIr2Cl after structural relaxation.

abc: 4.2506 4.2506 3.8935
angles: 90.00 90.00 90.00
Element x y z (fractional)
Tl: 0.0000 0.0000 0.0000
Ir: 0.0000 0.5000 0.5000
Ir: 0.5000 0.0000 0.5000
Cl: 0.5000 0.5000 0.0000

Results
Raw formation energy (eV per atom): 1.103
Size of the total moment (μB per formula unit): 0.00
Electronic total energy (Ry per atom): -0.322
Offset from the most stable computed form (meV/atom): 798

DFT (PBE) results for MgZr5Tl3 after structural relaxation.

abc: 8.8248 8.8248 6.0642
angles: 90.00 90.00 120.00
Element x y z (fractional)
Mg: 0.0000 0.0000 0.0000
Mg: 0.0000 0.0000 0.5000
Zr: 0.0000 0.3281 0.2500
Zr: 0.0000 0.6719 0.7500
Zr: 0.3281 0.0000 0.2500
Zr: 0.3281 0.3281 0.7500
Zr: 0.3333 0.6667 0.0000
Zr: 0.3333 0.6667 0.5000
Zr: 0.6667 0.3333 0.0000
Zr: 0.6667 0.3333 0.5000
Zr: 0.6719 0.0000 0.7500
Zr: 0.6719 0.6719 0.2500
Tl: 0.0000 0.3408 0.7500
Tl: 0.0000 0.6592 0.2500
Tl: 0.3408 0.0000 0.7500
Tl: 0.3408 0.3408 0.2500
Tl: 0.6592 0.0000 0.2500
Tl: 0.6592 0.6592 0.7500

Results
Size of the total moment (μB per formula unit): 0.00
Electronic total energy (Ry per atom): -0.427

DFT (PBE) results for KGa2Pd after structural relaxation.

abc: 8.8664 8.8664 8.8664
angles: 143.43 143.43 52.68
Element x y z (fractional)
K: 0.3750 0.6250 0.7500
K: 0.6250 0.3750 0.2500
Ga: 0.0000 0.0000 0.0000
Ga: 0.0000 0.0000 0.5000
Ga: 0.0000 0.5000 0.0000
Ga: 0.5000 0.0000 0.5000
Pd: 0.1250 0.8750 0.2500
Pd: 0.8750 0.1250 0.7500

Results
Size of the total moment (μB per formula unit): 0.00
Electronic total energy (Ry per atom): -0.239

DFT (PBE) results for KTl2HgGe after structural relaxation.

abc: 5.6074 5.6074 5.7170
angles: 90.00 90.00 90.00
Element x y z (fractional)
K: 0.0000 0.0000 0.0000
Tl: 0.0000 0.5000 0.5000
Tl: 0.5000 0.0000 0.5000
Hg: 0.5000 0.5000 0.0000
Ge: 0.5000 0.5000 0.5000

Results
Size of the total moment (μB per formula unit): 0.00
Electronic total energy (Ry per atom): -0.153

DFT (PBE) results for NaLi4La after structural relaxation.

abc: 5.9905 5.9905 5.9905
angles: 60.00 60.00 60.00
Element x y z (fractional)
Na: 0.0000 0.0000 0.0000
Li: 0.3736 0.3736 0.3736
Li: 0.3736 0.3736 0.8791
Li: 0.3736 0.8791 0.3736
Li: 0.8791 0.3736 0.3736
La: 0.7500 0.7500 0.7500

Results
Size of the total moment (μB per formula unit): 0.00
Electronic total energy (Ry per atom): -0.161

DFT (PBE) results for Ac4HgSe3 after structural relaxation.

abc: 7.8836 7.8836 7.8836
angles: 131.92 131.92 70.35
Element x y z (fractional)
Ac: 0.0000 0.5000 0.5000
Ac: 0.2450 0.2450 0.0000
Ac: 0.5000 0.0000 0.5000
Ac: 0.7550 0.7550 0.0000
Hg: 0.5000 0.5000 0.0000
Se: 0.0000 0.0000 0.0000
Se: 0.2500 0.7500 0.5000
Se: 0.7500 0.2500 0.5000

Results
Raw formation energy (eV per atom): -1.513
Size of the total moment (μB per formula unit): 0.00
Electronic total energy (Ry per atom): -0.361

DFT (PBE) results for MgGaRh4 after structural relaxation.

abc: 4.0346 4.0346 6.1410
angles: 90.00 90.00 90.00
Element x y z (fractional)
Mg: 0.0000 0.0000 0.0000
Ga: 0.5000 0.5000 0.5000
Rh: 0.0000 0.5000 0.2608
Rh: 0.0000 0.5000 0.7392
Rh: 0.5000 0.0000 0.2608
Rh: 0.5000 0.0000 0.7392

Results
Size of the total moment (μB per formula unit): 0.00
Electronic total energy (Ry per atom): -0.407

DFT (PBE) results for Li2YOs after structural relaxation.

abc: 2.7656 4.5062 5.6114
angles: 90.00 90.00 90.00
Element x y z (fractional)
Li: 0.0000 0.0000 0.1980
Li: 0.0000 0.0000 0.8020
Y: 0.5000 0.5000 0.5000
Os: 0.5000 0.5000 0.0000

Results
Size of the total moment (μB per formula unit): 0.00
Electronic total energy (Ry per atom): -0.371
Offset from the most stable computed form (meV/atom): 172

DFT (PBE) results for ScGeBr3 after structural relaxation.

abc: 5.4164 5.4164 5.4164
angles: 90.00 90.00 90.00
Element x y z (fractional)
Sc: 0.0000 0.0000 0.0000
Ge: 0.5000 0.5000 0.5000
Br: 0.0000 0.5000 0.5000
Br: 0.5000 0.0000 0.5000
Br: 0.5000 0.5000 0.0000

Results
Raw formation energy (eV per atom): -0.110
Size of the total moment (μB per formula unit): 1.87
Electronic total energy (Ry per atom): -0.243
Offset from the most stable computed form (meV/atom): 485

DFT (PBE) results for Ag3BI after structural relaxation.

abc: 4.6290 4.6290 4.6290
angles: 90.00 90.00 90.00
Element x y z (fractional)
Ag: 0.0000 0.0000 0.5000
Ag: 0.0000 0.5000 0.0000
Ag: 0.5000 0.0000 0.0000
B: 0.0000 0.0000 0.0000
I: 0.5000 0.5000 0.5000

Results
Raw formation energy (eV per atom): 0.679
Size of the total moment (μB per formula unit): 0.00
Electronic total energy (Ry per atom): -0.197
Offset from the most stable computed form (meV/atom): 0

DFT (PBE) results for Tc4Ni after structural relaxation.

abc: 6.5084 6.5084 6.5084
angles: 147.35 147.35 46.85
Element x y z (fractional)
Tc: 0.0972 0.0972 0.0000
Tc: 0.2500 0.7500 0.5000
Tc: 0.7500 0.2500 0.5000
Tc: 0.9028 0.9028 0.0000
Ni: 0.5000 0.5000 0.0000

Results
Size of the total moment (μB per formula unit): 0.00
Electronic total energy (Ry per atom): -0.643
Offset from the most stable computed form (meV/atom): 664

DFT (PBE) results for MgAsOs2 after structural relaxation.

abc: 5.2727 5.2727 5.2727
angles: 147.18 127.95 62.91
Element x y z (fractional)
Mg: 0.0000 0.0000 0.0000
As: 0.5000 0.5000 0.0000
Os: 0.2814 0.7814 0.5000
Os: 0.7186 0.2186 0.5000

Results
Size of the total moment (μB per formula unit): 0.00
Electronic total energy (Ry per atom): -0.505
Offset from the most stable computed form (meV/atom): 175